w.
Compound: CoIrPb2O6
Source: OQMD
Functional: GGA+U
Structure: relaxed

Summary:
Crystal system ... monoclinic

a b c (Å): 9.6929 5.5721 5.6687
angles (deg): 90.00 125.69 90.00
Space group C2/m (No. 12)
Unique sites:
Co1 0.0000 0.0000 0.0000 (multiplicity 2)
Ir1 0.0000 0.5000 0.5000 (multiplicity 2)
Pb1 0.2476 0.5000 0.2628 (multiplicity 4)
O1 0.0527 0.2554 0.3118 (multiplicity 8)
O2 0.2404 0.5000 0.8298 (multiplicity 4)


x.
Compound: CoIrPb2O6
Source: OQMD
Functional: GGA+U
Structure: relaxed

Summary:
Crystal system ... cubic

a b c (Å): 7.9120 7.9120 7.9120
angles (deg): 90.00 90.00 90.00
Space group Fm-3m (No. 225)
Unique sites:
Co1 0.0000 0.0000 0.0000 (multiplicity 4)
Ir1 0.0000 0.0000 0.5000 (multiplicity 4)
Pb1 0.2500 0.2500 0.2500 (multiplicity 8)
O1 0.0000 0.0000 0.2549 (multiplicity 24)


Which structure is most stable? w, by 90 meV per atom over the runner-up.